[1]
Below is an optimized crystal structure of Cs2AcRhO4, with properties calculated at the PBE level.

Cell lengths 14.505, 12.916, 8.088 Å; angles 84.00, 62.32, 33.68 degrees
Element x y z (fractional)
Cs  0.063  0.063  0.687
Cs  0.313  0.313  0.937
Cs  0.687  0.687  0.063
Cs  0.937  0.937  0.313
Ac  0.125  0.125  0.125
Ac  0.875  0.875  0.875
Rh  0.375  0.375  0.375
Rh  0.625  0.625  0.625
O  0.065  0.687  0.496
O  0.252  0.496  0.687
O  0.313  0.935  0.748
O  0.496  0.252  0.065
O  0.504  0.748  0.935
O  0.687  0.065  0.252
O  0.748  0.504  0.313
O  0.935  0.313  0.504

Space-group type: Fddd
D(E_F) in states/eV/cell: 11.7
Formation energy from raw total energies in eV per atom: -1.38
Raw total energy in eV/atom: -5.508

***

[2]
Below is an optimized crystal structure of CsAcRu2O8, with properties calculated at the PBE level.

Cell lengths 6.205, 6.205, 8.740 Å; angles 90.00, 90.00, 120.00 degrees
Element x y z (fractional)
Cs  0.000  0.000  0.000
Ac  0.000  0.000  0.500
Ru  0.333  0.667  0.755
Ru  0.667  0.333  0.245
O  0.170  0.352  0.681
O  0.182  0.830  0.681
O  0.333  0.667  0.955
O  0.352  0.182  0.319
O  0.648  0.818  0.681
O  0.667  0.333  0.045
O  0.818  0.170  0.319
O  0.830  0.648  0.319

Space-group type: P-3
D(E_F) in states/eV/cell: 0.5
Formation energy from raw total energies in eV per atom: -1.51
Raw total energy in eV/atom: -6.773

***

[3]
Below is an optimized crystal structure of Cs2AcRuO4, with properties calculated at the PBE level.

Cell lengths 6.179, 6.179, 6.179 Å; angles 114.30, 114.30, 100.19 degrees
Element x y z (fractional)
Cs  0.000  0.000  0.000
Cs  0.750  0.250  0.500
Ac  0.500  0.500  0.000
Ru  0.250  0.750  0.500
O  0.175  0.550  0.111
O  0.439  0.064  0.889
O  0.450  0.561  0.625
O  0.936  0.825  0.375

Space-group type: I-4
Formation energy from raw total energies in eV per atom: -1.64
Raw total energy in eV/atom: -6.004

***

Copy entry 2 word for word.
Below is an optimized crystal structure of CsAcRu2O8, with properties calculated at the PBE level.

Cell lengths 6.205, 6.205, 8.740 Å; angles 90.00, 90.00, 120.00 degrees
Element x y z (fractional)
Cs  0.000  0.000  0.000
Ac  0.000  0.000  0.500
Ru  0.333  0.667  0.755
Ru  0.667  0.333  0.245
O  0.170  0.352  0.681
O  0.182  0.830  0.681
O  0.333  0.667  0.955
O  0.352  0.182  0.319
O  0.648  0.818  0.681
O  0.667  0.333  0.045
O  0.818  0.170  0.319
O  0.830  0.648  0.319

Space-group type: P-3
D(E_F) in states/eV/cell: 0.5
Formation energy from raw total energies in eV per atom: -1.51
Raw total energy in eV/atom: -6.773